Record 1
Density functional theory data (PBE-GGA) for a geometry-optimized MnOsSe structure.

abc: 3.465 3.465 5.222
angles: 90.00 90.00 120.00
Fractional positions:
Mn: 0.333 0.667 0.933
Os: 0.667 0.333 0.152
Se: 0.333 0.667 0.483

- energy relative to the lowest polymorph listed for this composition (meV/atom) = 311
- total moment (Bohr magnetons per cell) = 0.0
- density (g cm⁻³) = 9.9
- uncorrected formation energy (eV per atom) = 0.5664
- volume (A^3/atom) = 18.1
- energy (eV per atom) = -7.39


Record 2
Density functional theory data (PBE-GGA) for a geometry-optimized CsPr2US5 structure.

abc: 5.084 7.388 8.299
angles: 116.43 107.84 90.00
Each line ends with the local moment (μB).
Fractional positions:
Cs: 0.000 0.500 0.000  0.00
S: 0.652 0.383 0.303  -0.02
Pr: 0.206 0.206 0.412  0.06
S: 0.348 0.617 0.697  -0.02
U: 0.500 0.000 0.000  2.18
Pr: 0.794 0.794 0.588  0.06
S: 0.000 0.000 0.000  -0.05
S: 0.652 0.920 0.303  -0.02
S: 0.348 0.080 0.697  -0.02

- total moment (Bohr magnetons per cell) = 2.5
- density (g cm⁻³) = 5.1
- uncorrected formation energy (eV per atom) = -1.6800
- volume (A^3/atom) = 29.1
- energy (eV per atom) = -6.38


Record 3
Density functional theory data (PBE-GGA) for a geometry-optimized Ho8PuSc2 structure.

abc: 5.482 9.861 9.861
angles: 39.77 92.35 92.35
Each line ends with the local moment (μB).
Fractional positions:
Ho: 0.264 0.129 0.601  0.00
Ho: 0.238 0.189 0.189  -0.02
Sc: 0.247 0.715 0.715  -0.13
Ho: 0.736 0.399 0.871  0.00
Ho: 0.264 0.601 0.129  0.00
Pu: 0.000 0.000 0.000  5.68
Ho: 0.762 0.811 0.811  -0.02
Ho: 0.762 0.452 0.452  0.02
Ho: 0.238 0.548 0.548  0.02
Ho: 0.736 0.871 0.399  0.00
Sc: 0.753 0.285 0.285  -0.13

- formation energy (eV/atom) = 0.19
- total moment (Bohr magnetons per cell) = 5.7
- density (g cm⁻³) = 8.1
- volume (A^3/atom) = 31.0
- energy (eV per atom) = -5.60


Record 4
Density functional theory data (PBE-GGA) for a geometry-optimized Y2CuSiTc structure.

abc: 5.377 4.205 5.377
angles: 90.00 90.00 90.00
Each line ends with the local moment (μB).
Fractional positions:
Si: 0.000 0.000 0.000  0.03
Y: 0.500 0.000 0.000  -0.13
Cu: 0.000 0.500 0.000  0.03
Tc: 0.500 0.500 0.500  2.05
Y: 0.000 0.000 0.500  -0.13

- total moment (Bohr magnetons per cell) = 1.9
- density (g cm⁻³) = 5.0
- uncorrected formation energy (eV per atom) = 0.5107
- volume (A^3/atom) = 24.3
- energy (eV per atom) = -6.05


Look up the volume of the third one.
31.0 A^3/atom